Material: SbTe2PCl
Method: DFT, GGA-PBE
State: relaxed

Unit cell a=5.2747 b=5.2747 c=5.2621 alpha=90.00 beta=90.00 gamma=90.00
Space group P4/mmm (No. 123)
Asymmetric unit:
Sb1 0.0000 0.0000 0.0000
Te1 0.0000 0.5000 0.5000
P1 0.0000 0.0000 0.5000
Cl1 0.5000 0.5000 0.0000

Calculated values
- Volume: 146 Å³ per cell
- ΔE to the lowest computed polymorph: 0 meV/atom
- ΔE_f (raw): 0.4508 eV/atom

Material: PmPt2Pb2
Method: DFT, GGA-PBE
State: relaxed

Unit cell a=4.9418 b=4.8860 c=10.3311 alpha=90.00 beta=92.09 gamma=90.00
Space group P2_1/m (No. 11)
Asymmetric unit:
Pm1 0.2129 0.2500 0.1689
Pt1 0.2404 0.7500 0.3379
Pt2 0.3054 0.7500 0.9773
Pb1 0.2548 0.2500 0.5048
Pb2 0.2602 0.2500 0.8245

Calculated values
- Volume: 249 Å³ per cell
- Uncorrected energy: -5.447 eV per atom

Material: TbIn2Ag2
Method: DFT, GGA-PBE
State: relaxed

Unit cell a=6.0890 b=6.0945 c=7.0468 alpha=90.00 beta=115.43 gamma=90.00
Space group C2/m (No. 12)
Asymmetric unit:
Tb1 0.0000 0.0000 0.0000
In1 0.0000 0.2496 0.5000
Ag1 0.1035 0.5000 0.2072

Calculated values
- Volume: 236 Å³ per cell
- Uncorrected energy: -3.358 eV per atom

no.,Fermi-level density of states (states/eV per atom)
1,0.995
2,0.359
3,0.447